1.
GGA-PBE KSrCa2, optimized geometry; energy of formation from the pure elements = 100 meV/atom; spin magnetization = 0.0 μB/f.u.; energy above the lowest structure with this stoichiometry = 17 meV/atom; D(E_F) = 1.431 states/eV per atom
1.0
-0.525 8.841 11.037
-0.002 5.354 13.099
3.237 7.369 11.640
Sr Ca K
1 2 1
Cartesian
2.032 16.173 26.832 Sr
0.010 0.082 0.136 Ca
1.345 10.700 17.751 Ca
0.677 5.391 8.944 K

---

2.
GGA-PBE KSrCa2, optimized geometry; energy of formation from the pure elements = 97 meV/atom; spin magnetization = 0.0 μB/f.u.; energy above the lowest structure with this stoichiometry = 14 meV/atom; D(E_F) = 0.957 states/eV per atom
1.0
4.015 0.000 0.000
0.000 4.015 0.000
0.000 0.000 12.604
Sr Ca K
1 2 1
Cartesian
2.007 2.007 0.000 Sr
0.000 0.000 9.660 Ca
0.000 0.000 2.944 Ca
2.007 2.007 6.302 K

---

3.
GGA-PBE KSrCa2, optimized geometry; energy of formation from the pure elements = 126 meV/atom; spin magnetization = 0.0 μB/f.u.; energy above the lowest structure with this stoichiometry = 43 meV/atom; D(E_F) = 0.938 states/eV per atom
1.0
6.479 0.000 0.000
0.000 3.983 0.042
0.000 1.698 7.839
Ca K Sr
2 1 1
Cartesian
0.000 1.819 7.765 Ca
0.000 2.719 4.013 Ca
3.239 1.420 1.970 K
3.239 4.260 5.910 Sr